The following is a PBE calculation of a geometry-optimized SrCd13 structure, from Alexandria via LeMat-Bulk.

Cell and atoms, written as POSCAR:
```
SrCd13
1.0
-2.5846 -9.5046 0.1199
5.3075 -6.6111 -5.0157
5.5463 -6.5518 4.8318
Sr Cd
2 26
direct
0.7500 0.7500 0.7500
0.2500 0.2500 0.2500
0.4419 0.5581 0.1975
0.1975 0.8025 0.4419
0.8025 0.1975 0.5581
0.5581 0.4419 0.8025
0.5581 0.8025 0.1975
0.8025 0.5581 0.4419
0.1975 0.4419 0.5581
0.4419 0.1975 0.8025
0.8025 0.4419 0.1975
0.5581 0.1975 0.4419
0.4419 0.8025 0.5581
0.1975 0.5581 0.8025
0.3025 0.9419 0.0581
0.0581 0.6975 0.3025
0.9419 0.3025 0.6975
0.6975 0.0581 0.9419
0.3025 0.6975 0.9419
0.0581 0.9419 0.6975
0.9419 0.0581 0.3025
0.6975 0.3025 0.0581
0.3025 0.0581 0.6975
0.0581 0.3025 0.9419
0.9419 0.6975 0.0581
0.6975 0.9419 0.3025
0.5000 0.5000 0.5000
0.0000 0.0000 0.0000
```

energy relative to the elements = -0.098 eV per atom
DFT total energy = -1.068 eV/atom
total magnetization = 0.00 Bohr magnetons per cell